[1]
{
  "formula": "HoSi2",
  "functional": "meta-GGA SCAN",
  "state": "PBEsol geometry",
  "sg": "No. 141",
  "raw_formation_energy_ev_per_fu": -1.51,
  "lattice": [[-1.9326, 1.9326, 7.3998], [1.9326, -1.9326, 7.3998], [1.9326, 1.9326, -7.3998]],
  "species": ["Ho", "Ho", "Si", "Si", "Si", "Si"],
  "frac_coords": [[0.3750, 0.6250, 0.7500], [0.6250, 0.3750, 0.2500], [0.0440, 0.7940, 0.2500], [0.2060, 0.9560, 0.2500], [0.7940, 0.0440, 0.7500], [0.9560, 0.2060, 0.7500]]
}

=====

[2]
{
  "formula": "CaCd2Cu",
  "functional": "meta-GGA SCAN",
  "state": "PBEsol geometry",
  "e_form_kj_per_mol_fu": -47,
  "sg": "No. 216",
  "lattice": [[0.0000, 3.4310, 3.4310], [3.4310, 0.0000, 3.4310], [3.4310, 3.4310, 0.0000]],
  "species": ["Ca", "Cd", "Cd", "Cu"],
  "frac_coords": [[0.0000, 0.0000, 0.0000], [0.5000, 0.5000, 0.5000], [0.7500, 0.7500, 0.7500], [0.2500, 0.2500, 0.2500]]
}

=====

[3]
{
  "formula": "EuBPt4",
  "functional": "meta-GGA SCAN",
  "state": "PBEsol geometry",
  "e_form_kj_per_mol_fu": -460,
  "sg": "No. 191",
  "lattice": [[5.4414, 0.0000, 0.0000], [-2.7207, 4.7123, 0.0000], [0.0000, 0.0000, 7.5525]],
  "species": ["Eu", "Eu", "B", "B", "Pt", "Pt", "Pt", "Pt", "Pt", "Pt", "Pt", "Pt"],
  "frac_coords": [[0.0000, 0.0000, 0.0000], [0.0000, 0.0000, 0.5000], [0.3333, 0.6667, 0.0000], [0.6667, 0.3333, 0.0000], [0.0000, 0.5000, 0.2001], [0.0000, 0.5000, 0.7999], [0.3333, 0.6667, 0.5000], [0.5000, 0.0000, 0.2001], [0.5000, 0.0000, 0.7999], [0.5000, 0.5000, 0.2001], [0.5000, 0.5000, 0.7999], [0.6667, 0.3333, 0.5000]]
}

=====

[4]
{
  "formula": "KMnZn2",
  "functional": "meta-GGA SCAN",
  "state": "PBEsol geometry",
  "e_form_kj_per_mol_fu": 129,
  "sg": "No. 166",
  "e_above_lowest_polymorph_mev_per_atom": 66.6,
  "lattice": [[1.4898, 0.8601, 9.6442], [-1.4898, 0.8601, 9.6442], [0.0000, -1.7203, 9.6442]],
  "species": ["K", "Mn", "Zn", "Zn"],
  "frac_coords": [[0.0000, 0.0000, 0.0000], [0.5000, 0.5000, 0.5000], [0.2342, 0.2342, 0.2342], [0.7658, 0.7658, 0.7658]]
}

=====

[5]
{
  "formula": "KLaSe2O8",
  "functional": "meta-GGA SCAN",
  "state": "PBEsol geometry",
  "sg": "No. 14",
  "raw_formation_energy_ev_per_fu": -21.16,
  "lattice": [[8.7907, 0.0000, 0.0000], [0.0000, 7.4222, 0.0000], [-0.3356, 0.0000, 11.1625]],
  "species": ["K", "K", "K", "K", "La", "La", "La", "La", "Se", "Se", "Se", "Se", "Se", "Se", "Se", "Se", "O", "O", "O", "O", "O", "O", "O", "O", "O", "O", "O", "O", "O", "O", "O", "O", "O", "O", "O", "O", "O", "O", "O", "O", "O", "O", "O", "O", "O", "O", "O", "O"],
  "frac_coords": [[0.0655, 0.1440, 0.3421], [0.0655, 0.3560, 0.8421], [0.9345, 0.6440, 0.1579], [0.9345, 0.8560, 0.6579], [0.4426, 0.6661, 0.6520], [0.4426, 0.8339, 0.1520], [0.5574, 0.1661, 0.8480], [0.5574, 0.3339, 0.3480], [0.2162, 0.6580, 0.4096], [0.2162, 0.8420, 0.9096], [0.3066, 0.1632, 0.6078], [0.3066, 0.3368, 0.1078], [0.6934, 0.6632, 0.8922], [0.6934, 0.8368, 0.3922], [0.7838, 0.1580, 0.0904], [0.7838, 0.3420, 0.5904], [0.0863, 0.5157, 0.3632], [0.0863, 0.9843, 0.8632], [0.1216, 0.1459, 0.6023], [0.1216, 0.3541, 0.1023], [0.1916, 0.7449, 0.0427], [0.1916, 0.7551, 0.5427], [0.2463, 0.6822, 0.8075], [0.2463, 0.8178, 0.3075], [0.3604, 0.1595, 0.1947], [0.3604, 0.3405, 0.6947], [0.3745, 0.1681, 0.4711], [0.3745, 0.3319, 0.9711], [0.3830, 0.5522, 0.4435], [0.3830, 0.9478, 0.9435], [0.3967, 0.5019, 0.1869], [0.3967, 0.9981, 0.6869], [0.6033, 0.0019, 0.3131], [0.6033, 0.4981, 0.8131], [0.6170, 0.0522, 0.0565], [0.6170, 0.4478, 0.5565], [0.6255, 0.6681, 0.0289], [0.6255, 0.8319, 0.5289], [0.6396, 0.6595, 0.3053], [0.6396, 0.8405, 0.8053], [0.7537, 0.1822, 0.6925], [0.7537, 0.3178, 0.1925], [0.8084, 0.2449, 0.4573], [0.8084, 0.2551, 0.9573], [0.8784, 0.6459, 0.8977], [0.8784, 0.8541, 0.3977], [0.9137, 0.0157, 0.1368], [0.9137, 0.4843, 0.6368]]
}

=====

[6]
{
  "formula": "Zn2SiAg",
  "functional": "meta-GGA SCAN",
  "state": "PBEsol geometry",
  "sg": "No. 119",
  "raw_formation_energy_ev_per_fu": 0.98,
  "lattice": [[-1.9469, 1.9469, 3.9586], [1.9469, -1.9469, 3.9586], [1.9469, 1.9469, -3.9586]],
  "species": ["Zn", "Zn", "Si", "Ag"],
  "frac_coords": [[0.0000, 0.0000, 0.0000], [0.7500, 0.2500, 0.5000], [0.2500, 0.7500, 0.5000], [0.5000, 0.5000, 0.0000]]
}

=====

[7]
{
  "formula": "LiMg",
  "functional": "meta-GGA SCAN",
  "state": "PBEsol geometry",
  "e_form_kj_per_mol_fu": -4,
  "sg": "No. 164",
  "lattice": [[3.0912, 0.0000, 0.0000], [-1.5456, 2.6771, 0.0000], [0.0000, 0.0000, 10.1232]],
  "species": ["Li", "Li", "Mg", "Mg"],
  "frac_coords": [[0.3333, 0.6667, 0.3787], [0.6667, 0.3333, 0.6213], [0.3333, 0.6667, 0.8682], [0.6667, 0.3333, 0.1318]]
}

=====

[8]
{
  "formula": "LiEu2Si3",
  "functional": "meta-GGA SCAN",
  "state": "PBEsol geometry",
  "sg": "No. 12",
  "raw_formation_energy_ev_per_fu": -3.27,
  "lattice": [[7.5703, -2.2072, 0.0000], [7.5703, 2.2072, 0.0000], [-1.9452, 0.0000, 7.4447]],
  "species": ["Li", "Li", "Eu", "Eu", "Eu", "Eu", "Si", "Si", "Si", "Si", "Si", "Si"],
  "frac_coords": [[0.2131, 0.2131, 0.2785], [0.7869, 0.7869, 0.7215], [0.3773, 0.3773, 0.0645], [0.3893, 0.3893, 0.5702], [0.6107, 0.6107, 0.4298], [0.6227, 0.6227, 0.9355], [0.0450, 0.0450, 0.1467], [0.0469, 0.0469, 0.6496], [0.2058, 0.2058, 0.7123], [0.7942, 0.7942, 0.2877], [0.9531, 0.9531, 0.3504], [0.9550, 0.9550, 0.8533]]
}

=====

[9]
{
  "formula": "BeNi2Au",
  "functional": "meta-GGA SCAN",
  "state": "PBEsol geometry",
  "e_form_kj_per_mol_fu": -33,
  "sg": "No. 139",
  "lattice": [[-1.7700, 1.7700, 3.6752], [1.7700, -1.7700, 3.6752], [1.7700, 1.7700, -3.6752]],
  "species": ["Be", "Ni", "Ni", "Au"],
  "frac_coords": [[0.0000, 0.0000, 0.0000], [0.2500, 0.7500, 0.5000], [0.7500, 0.2500, 0.5000], [0.5000, 0.5000, 0.0000]]
}

=====

[10]
{
  "formula": "FeSiGe2Ir",
  "functional": "meta-GGA SCAN",
  "state": "PBEsol geometry",
  "sg": "No. 123",
  "raw_formation_energy_ev_per_fu": 4.11,
  "lattice": [[4.7399, 0.0000, 0.0000], [0.0000, 4.7399, 0.0000], [0.0000, 0.0000, 4.5603]],
  "species": ["Fe", "Si", "Ge", "Ge", "Ir"],
  "frac_coords": [[0.0000, 0.0000, 0.0000], [0.5000, 0.5000, 0.0000], [0.0000, 0.5000, 0.5000], [0.5000, 0.0000, 0.5000], [0.5000, 0.5000, 0.5000]]
}

=====

[11]
{
  "formula": "NbBi2O5F",
  "functional": "meta-GGA SCAN",
  "state": "PBEsol geometry",
  "sg": "No. 19",
  "raw_formation_energy_ev_per_fu": -18.20,
  "e_above_lowest_polymorph_mev_per_atom": 7.4,
  "lattice": [[5.3929, 0.0000, 0.0000], [0.0000, 5.4216, 0.0000], [0.0000, 0.0000, 16.6946]],
  "species": ["Nb", "Nb", "Nb", "Nb", "Bi", "Bi", "Bi", "Bi", "Bi", "Bi", "Bi", "Bi", "O", "O", "O", "O", "O", "O", "O", "O", "O", "O", "O", "O", "O", "O", "O", "O", "O", "O", "O", "O", "F", "F", "F", "F"],
  "frac_coords": [[0.2491, 0.2387, 0.2634], [0.2509, 0.7613, 0.7634], [0.7491, 0.2613, 0.7366], [0.7509, 0.7387, 0.2366], [0.2091, 0.7597, 0.0751], [0.2191, 0.2684, 0.9228], [0.2809, 0.7316, 0.4228], [0.2909, 0.2403, 0.5751], [0.7091, 0.7403, 0.9249], [0.7191, 0.2316, 0.0772], [0.7809, 0.7684, 0.5772], [0.7909, 0.2597, 0.4249], [0.0272, 0.5046, 0.5038], [0.0282, 0.9987, 0.4981], [0.0462, 0.0567, 0.7683], [0.0506, 0.5424, 0.2321], [0.2490, 0.6871, 0.8732], [0.2510, 0.3129, 0.3732], [0.4494, 0.4576, 0.7321], [0.4538, 0.9433, 0.2683], [0.4718, 0.0013, 0.9981], [0.4728, 0.4954, 0.0038], [0.5272, 0.9954, 0.4962], [0.5282, 0.5013, 0.5019], [0.5462, 0.4433, 0.2317], [0.5506, 0.9576, 0.7679], [0.7490, 0.8129, 0.1268], [0.7510, 0.1871, 0.6268], [0.9494, 0.0424, 0.2679], [0.9538, 0.5567, 0.7317], [0.9718, 0.4987, 0.0019], [0.9728, 0.0046, 0.9962], [0.2365, 0.1849, 0.1313], [0.2635, 0.8151, 0.6313], [0.7365, 0.3151, 0.8687], [0.7635, 0.6849, 0.3687]]
}

=====

[12]
{
  "formula": "AgRuSe2",
  "functional": "meta-GGA SCAN",
  "state": "PBEsol geometry",
  "sg": "No. 25",
  "raw_formation_energy_ev_per_fu": 0.93,
  "e_above_lowest_polymorph_mev_per_atom": 0.0,
  "lattice": [[3.0366, 0.0000, 0.0000], [0.0000, 3.9186, 0.0000], [0.0000, 0.0000, 5.7185]],
  "species": ["Ag", "Ru", "Se", "Se"],
  "frac_coords": [[0.0000, 0.0000, 0.0000], [0.5000, 0.5000, 0.3354], [0.0000, 0.0000, 0.4484], [0.5000, 0.5000, 0.7800]]
}

=====

[13]
{
  "formula": "YSc2Tl",
  "functional": "meta-GGA SCAN",
  "state": "PBEsol geometry",
  "e_form_kj_per_mol_fu": -94,
  "sg": "No. 99",
  "e_above_lowest_polymorph_mev_per_atom": 98.7,
  "lattice": [[3.4383, 0.0000, 0.0000], [0.0000, 3.4383, 0.0000], [0.0000, 0.0000, 8.4042]],
  "species": ["Y", "Sc", "Sc", "Tl"],
  "frac_coords": [[0.0000, 0.0000, 0.0000], [0.0000, 0.0000, 0.5171], [0.5000, 0.5000, 0.2748], [0.5000, 0.5000, 0.7414]]
}

=====

[14]
{
  "formula": "BaCd",
  "functional": "meta-GGA SCAN",
  "state": "PBEsol geometry",
  "e_form_kj_per_mol_fu": -68,
  "sg": "No. 63",
  "lattice": [[2.2687, -6.2644, 0.0000], [2.2687, 6.2644, 0.0000], [0.0000, 0.0000, 5.2952]],
  "species": ["Ba", "Ba", "Cd", "Cd"],
  "frac_coords": [[0.1438, 0.8562, 0.7500], [0.8562, 0.1438, 0.2500], [0.4340, 0.5660, 0.7500], [0.5660, 0.4340, 0.2500]]
}

=====

[15]
{
  "formula": "TaCdCo",
  "functional": "meta-GGA SCAN",
  "state": "PBEsol geometry",
  "e_form_kj_per_mol_fu": 111,
  "sg": "No. 156",
  "lattice": [[2.9454, 0.0000, 0.0000], [-1.4727, 2.5508, 0.0000], [0.0000, 0.0000, 6.4788]],
  "species": ["Ta", "Cd", "Co"],
  "frac_coords": [[0.0000, 0.0000, 0.0000], [0.6667, 0.3333, 0.6054], [0.3333, 0.6667, 0.2687]]
}

=====

[16]
{
  "formula": "CaCrF3",
  "functional": "meta-GGA SCAN",
  "state": "PBEsol geometry",
  "sg": "No. 221",
  "raw_formation_energy_ev_per_fu": -12.47,
  "lattice": [[4.1997, 0.0000, 0.0000], [0.0000, 4.1997, 0.0000], [0.0000, 0.0000, 4.1997]],
  "species": ["Ca", "Cr", "F", "F", "F"],
  "frac_coords": [[0.0000, 0.0000, 0.0000], [0.5000, 0.5000, 0.5000], [0.0000, 0.5000, 0.5000], [0.5000, 0.0000, 0.5000], [0.5000, 0.5000, 0.0000]]
}

=====

[17]
{
  "formula": "LiTiBi2",
  "functional": "meta-GGA SCAN",
  "state": "PBEsol geometry",
  "e_form_kj_per_mol_fu": -42,
  "sg": "No. 225",
  "lattice": [[0.0000, 3.5567, 3.5567], [3.5567, 0.0000, 3.5567], [3.5567, 3.5567, 0.0000]],
  "species": ["Li", "Ti", "Bi", "Bi"],
  "frac_coords": [[0.0000, 0.0000, 0.0000], [0.5000, 0.5000, 0.5000], [0.2500, 0.2500, 0.2500], [0.7500, 0.7500, 0.7500]]
}

=====

[18]
{
  "formula": "MnAlOs",
  "functional": "meta-GGA SCAN",
  "state": "PBEsol geometry",
  "e_form_kj_per_mol_fu": -93,
  "sg": "No. 107",
  "lattice": [[-1.4120, 1.4120, 4.6787], [1.4120, -1.4120, 4.6787], [1.4120, 1.4120, -4.6787]],
  "species": ["Mn", "Al", "Os"],
  "frac_coords": [[0.0000, 0.0000, 0.0000], [0.3399, 0.3399, 0.0000], [0.6603, 0.6603, 0.0000]]
}

=====

[19]
{
  "formula": "Hf6Al2Co",
  "functional": "meta-GGA SCAN",
  "state": "PBEsol geometry",
  "e_form_kj_per_mol_fu": -282,
  "sg": "No. 189",
  "lattice": [[7.7642, 0.0000, 0.0000], [-3.8821, 6.7240, 0.0000], [0.0000, 0.0000, 3.2470]],
  "species": ["Hf", "Hf", "Hf", "Hf", "Hf", "Hf", "Al", "Al", "Co"],
  "frac_coords": [[0.0000, 0.3969, 0.0000], [0.0000, 0.7491, 0.5000], [0.2509, 0.2509, 0.5000], [0.3969, 0.0000, 0.0000], [0.6031, 0.6031, 0.0000], [0.7491, 0.0000, 0.5000], [0.3333, 0.6667, 0.5000], [0.6667, 0.3333, 0.5000], [0.0000, 0.0000, 0.0000]]
}

=====

[20]
{
  "formula": "SrRu",
  "functional": "meta-GGA SCAN",
  "state": "PBEsol geometry",
  "e_form_kj_per_mol_fu": 17,
  "sg": "No. 166",
  "lattice": [[2.0618, 1.1904, 8.4067], [-2.0618, 1.1904, 8.4067], [0.0000, -2.3808, 8.4067]],
  "species": ["Sr", "Sr", "Ru", "Ru"],
  "frac_coords": [[0.0888, 0.0888, 0.0888], [0.9112, 0.9112, 0.9112], [0.3324, 0.3324, 0.3324], [0.6676, 0.6676, 0.6676]]
}

=====

[21]
{
  "formula": "Zn2InRu",
  "functional": "meta-GGA SCAN",
  "state": "PBEsol geometry",
  "e_form_kj_per_mol_fu": 88,
  "sg": "No. 160",
  "lattice": [[1.4673, 0.8471, 8.5855], [-1.4673, 0.8471, 8.5855], [0.0000, -1.6943, 8.5855]],
  "species": ["Zn", "Zn", "In", "Ru"],
  "frac_coords": [[0.0000, 0.0000, 0.0000], [0.2541, 0.2541, 0.2541], [0.4936, 0.4936, 0.4936], [0.7426, 0.7426, 0.7426]]
}

=====

[22]
{
  "formula": "Co2HgPt",
  "functional": "meta-GGA SCAN",
  "state": "PBEsol geometry",
  "e_form_kj_per_mol_fu": 111,
  "sg": "No. 160",
  "lattice": [[1.3727, 0.7925, 8.7090], [-1.3727, 0.7925, 8.7090], [0.0000, -1.5851, 8.7090]],
  "species": ["Co", "Co", "Hg", "Pt"],
  "frac_coords": [[0.0000, 0.0000, 0.0000], [0.2656, 0.2656, 0.2656], [0.7551, 0.7551, 0.7551], [0.5191, 0.5191, 0.5191]]
}

=====

[23]
{
  "formula": "LiZnIn2",
  "functional": "meta-GGA SCAN",
  "state": "PBEsol geometry",
  "e_form_kj_per_mol_fu": -50,
  "sg": "No. 119",
  "lattice": [[-2.1294, 2.1294, 4.2959], [2.1294, -2.1294, 4.2959], [2.1294, 2.1294, -4.2959]],
  "species": ["Li", "Zn", "In", "In"],
  "frac_coords": [[0.0000, 0.0000, 0.0000], [0.2500, 0.7500, 0.5000], [0.5000, 0.5000, 0.0000], [0.7500, 0.2500, 0.5000]]
}

=====

[24]
{
  "formula": "TbBi3",
  "functional": "meta-GGA SCAN",
  "state": "PBEsol geometry",
  "e_form_kj_per_mol_fu": -145,
  "sg": "No. 194",
  "lattice": [[6.7297, 0.0000, 0.0000], [-3.3648, 5.8281, 0.0000], [0.0000, 0.0000, 5.9258]],
  "species": ["Tb", "Tb", "Bi", "Bi", "Bi", "Bi", "Bi", "Bi"],
  "frac_coords": [[0.3333, 0.6667, 0.2500], [0.6667, 0.3333, 0.7500], [0.1721, 0.3441, 0.7500], [0.1721, 0.8279, 0.7500], [0.3441, 0.1721, 0.2500], [0.6559, 0.8279, 0.7500], [0.8279, 0.1721, 0.2500], [0.8279, 0.6559, 0.2500]]
}